1.
Entry from the Alexandria database: Ce2MgMo after structural relaxation (GGA-PBE).

Cell: 3.404 3.404 8.579 Å, 90.00 90.00 90.00°
Element x y z (fractional)
Ce 0.000 0.000 0.204
Ce 0.000 0.000 0.796
Mg 0.500 0.500 0.500
Mo 0.500 0.500 0.000

**Energy relative to the lowest polymorph listed for this composition**: 0 meV per atom
**DFT formation energy**: 0.1660 eV/atom
**DOS at the Fermi energy**: 2.037 states/eV per atom
**SG**: P4/mmm
**Total magnetic moment**: 0.00 μB per atom

2.
Entry from the Alexandria database: KP2OsRu after structural relaxation (GGA-PBE).

Cell: 6.923 6.923 6.923 Å, 146.09 146.09 48.72°
Element x y z (fractional)
K 0.000 0.000 0.000
P 0.342 0.342 0.000
P 0.658 0.658 0.000
Os 0.750 0.250 0.500
Ru 0.250 0.750 0.500

**DFT formation energy**: -0.5046 eV/atom
**DOS at the Fermi energy**: 0.511 states/eV per atom
**SG**: I-4m2
**Total magnetic moment**: 0.00 μB per atom

3.
Entry from the Alexandria database: CuCl3 after structural relaxation (GGA-PBE).

Cell: 6.577 6.577 6.577 Å, 119.36 119.36 91.11°
Element x y z (fractional)
Cu 0.000 0.000 0.000
Cu 0.750 0.250 0.500
Cl 0.022 0.625 0.897
Cl 0.250 0.750 0.500
Cl 0.375 0.272 0.397
Cl 0.500 0.500 0.000
Cl 0.728 0.125 0.103
Cl 0.875 0.978 0.603

**DOS at the Fermi energy**: 1.714 states/eV per atom
**SG**: I-42d
**Total magnetic moment**: 0.00 μB per atom
**ΔE_f (raw)**: -0.002 eV/atom

4.
Entry from the Alexandria database: Er6CdPt after structural relaxation (GGA-PBE).

Cell: 6.948 6.959 7.221 Å, 90.28 118.49 119.79°
Element x y z (fractional)
Er 0.031 0.071 0.254
Er 0.293 0.722 0.254
Er 0.314 0.538 0.746
Er 0.686 0.462 0.254
Er 0.707 0.278 0.746
Er 0.969 0.929 0.746
Cd 0.500 0.000 0.000
Pt 0.500 0.500 0.500

**DFT formation energy**: -0.1459 eV/atom
**DOS at the Fermi energy**: 1.367 states/eV per atom
**SG**: P-1
**Total magnetic moment**: 0.00 μB per atom

5.
Entry from the Alexandria database: AlCrSnPt2 after structural relaxation (GGA-PBE).

Cell: 4.913 4.913 4.783 Å, 90.00 90.00 90.00°
Element x y z (fractional)
Al 0.000 0.000 0.000
Cr 0.500 0.500 0.000
Sn 0.500 0.500 0.500
Pt 0.000 0.500 0.500
Pt 0.500 0.000 0.500

**DFT formation energy**: 1.2236 eV/atom
**DOS at the Fermi energy**: 0.928 states/eV per atom
**SG**: P4/mmm
**Total magnetic moment**: 0.04 μB per atom

6.
Entry from the Alexandria database: K2USnSe6 after structural relaxation (GGA-PBE).

Cell: 7.448 7.541 12.984 Å, 90.00 124.90 90.00°
Element x y z (fractional)
K 0.233 0.059 0.249
K 0.233 0.441 0.749
K 0.767 0.559 0.251
K 0.767 0.941 0.751
U 0.500 0.000 0.000
U 0.500 0.500 0.500
Sn 0.000 0.000 0.500
Sn 0.000 0.500 0.000
Se 0.169 0.200 0.963
Se 0.169 0.300 0.463
Se 0.260 0.708 0.960
Se 0.260 0.792 0.460
Se 0.331 0.501 0.254
Se 0.331 0.999 0.754
Se 0.669 0.001 0.246
Se 0.669 0.499 0.746
Se 0.740 0.208 0.540
Se 0.740 0.292 0.040
Se 0.831 0.700 0.537
Se 0.831 0.800 0.037

**DOS at the Fermi energy**: 0.159 states/eV per atom
**SG**: P2_1/c
**Total magnetic moment**: 0.00 μB per atom
**ΔE_f (raw)**: -0.818 eV/atom

Computed E (eV/atom) in order:
-5.9074, -6.9892, -2.4114, -4.4375, -4.6665, -4.6571